Material: CaTb7Pr3
Method: DFT, GGA-PBE
State: optimized geometry

Structure (CIF):
```
data_CaTb7Pr3
_chemical_formula_sum 'Ca2 Tb14 Pr6'
_cell_length_a 11.8215
_cell_length_b 10.1408
_cell_length_c 6.5129
_cell_angle_alpha 90.00
_cell_angle_beta 94.69
_cell_angle_gamma 90.00
_space_group_name_H-M_alt 'C 1 2/m 1'
_space_group_IT_number 12
loop_
_space_group_symop_operation_xyz
'x,y,z'
'-x,-y,-z'
'-x,y,-z'
'x,-y,z'
'x+1/2,y+1/2,z'
'-x+1/2,-y+1/2,-z'
'-x+1/2,y+1/2,-z'
'x+1/2,-y+1/2,z'
loop_
_atom_site_label
_atom_site_type_symbol
_atom_site_fract_x
_atom_site_fract_y
_atom_site_fract_z
Ca1 Ca 0.0000 0.0000 0.0000
Tb1 Tb 0.0000 0.0000 0.5000
Tb2 Tb 0.2357 0.5000 0.7075
Tb3 Tb 0.2430 0.1700 0.7572
Pr1 Pr 0.0000 0.3248 0.5000
Pr2 Pr 0.0000 0.5000 0.0000
```

total magnetization	0.0	μB/f.u.
calculated total energy	-4.203	eV per atom
energy of formation	229	meV per atom
distance to the lowest polymorph of the same formula	19	meV per atom


Material: Na5AlO4
Method: DFT, GGA-PBE
State: optimized geometry

Structure (CIF):
```
data_Na5AlO4
_chemical_formula_sum 'Na40 Al8 O32'
_cell_length_a 5.9651
_cell_length_b 18.0104
_cell_length_c 10.2823
_cell_angle_alpha 90.00
_cell_angle_beta 90.00
_cell_angle_gamma 90.00
_space_group_name_H-M_alt 'P b c a'
_space_group_IT_number 61
loop_
_space_group_symop_operation_xyz
'x,y,z'
'-x,-y,-z'
'-x+1/2,-y,z+1/2'
'x+1/2,y,-z+1/2'
'x+1/2,-y+1/2,-z'
'-x+1/2,y+1/2,z'
'-x,y+1/2,-z+1/2'
'x,-y+1/2,z+1/2'
loop_
_atom_site_label
_atom_site_type_symbol
_atom_site_fract_x
_atom_site_fract_y
_atom_site_fract_z
Na1 Na 0.0836 0.1392 0.1981
Na2 Na 0.0869 0.5020 0.1626
Na3 Na 0.0882 0.0645 0.9405
Na4 Na 0.1004 0.7489 0.5797
Na5 Na 0.1053 0.6727 0.8260
Al1 Al 0.1769 0.1239 0.4609
O1 O 0.1225 0.6198 0.0460
O2 O 0.1987 0.5484 0.3733
O3 O 0.2360 0.6261 0.6292
O4 O 0.2355 0.7081 0.3780
```

raw formation energy	-1.803	eV/atom
total magnetization	0.0	μB/f.u.
calculated total energy	-4.821	eV per atom
distance to the lowest polymorph of the same formula	0	meV per atom


Material: Ir3PdRu
Method: DFT, GGA-PBE
State: optimized geometry

Structure (CIF):
```
data_Ir3PdRu
_chemical_formula_sum 'Ir3 Pd1 Ru1'
_cell_length_a 4.6575
_cell_length_b 4.6575
_cell_length_c 4.6575
_cell_angle_alpha 90.00
_cell_angle_beta 90.00
_cell_angle_gamma 90.00
_space_group_name_H-M_alt 'P m -3 m'
_space_group_IT_number 221
_space_group_name_Hall '-P 4 2 3'
loop_
_atom_site_label
_atom_site_type_symbol
_atom_site_fract_x
_atom_site_fract_y
_atom_site_fract_z
Ir1 Ir 0.0000 0.0000 0.5000
Pd1 Pd 0.5000 0.5000 0.5000
Ru1 Ru 0.0000 0.0000 0.0000
```

total magnetization	0.0	μB/f.u.
calculated total energy	-6.352	eV per atom
energy of formation	1859	meV per atom
distance to the lowest polymorph of the same formula	0	meV per atom


Material: SnCSe2Br
Method: DFT, GGA-PBE
State: optimized geometry

Structure (CIF):
```
data_SnCSe2Br
_chemical_formula_sum 'Sn1 C1 Se2 Br1'
_cell_length_a 5.3458
_cell_length_b 5.3458
_cell_length_c 5.4270
_cell_angle_alpha 90.00
_cell_angle_beta 90.00
_cell_angle_gamma 90.00
_space_group_name_H-M_alt 'P 4/m m m'
_space_group_IT_number 123
_space_group_name_Hall '-P 4 2'
loop_
_atom_site_label
_atom_site_type_symbol
_atom_site_fract_x
_atom_site_fract_y
_atom_site_fract_z
Sn1 Sn 0.0000 0.0000 0.0000
C1 C 0.5000 0.5000 0.5000
Se1 Se 0.0000 0.5000 0.0000
Br1 Br 0.0000 0.0000 0.5000
```

raw formation energy	1.592	eV/atom
total magnetization	0.9	μB/f.u.
calculated total energy	-2.782	eV per atom
distance to the lowest polymorph of the same formula	784	meV per atom


Material: BaRu2Pt
Method: DFT, GGA-PBE
State: optimized geometry

Structure (CIF):
```
data_BaRu2Pt
_chemical_formula_sum 'Ba1 Ru2 Pt1'
_cell_length_a 2.9269
_cell_length_b 3.6304
_cell_length_c 7.6235
_cell_angle_alpha 90.00
_cell_angle_beta 90.00
_cell_angle_gamma 90.00
_space_group_name_H-M_alt 'P m m 2'
_space_group_IT_number 25
loop_
_space_group_symop_operation_xyz
'x,y,z'
'-x,-y,z'
'-x,y,z'
'x,-y,z'
loop_
_atom_site_label
_atom_site_type_symbol
_atom_site_fract_x
_atom_site_fract_y
_atom_site_fract_z
Ba1 Ba 0.0000 0.0000 0.0000
Ru1 Ru 0.0000 0.0000 0.5128
Ru2 Ru 0.5000 0.5000 0.6623
Pt1 Pt 0.5000 0.5000 0.3067
```

total magnetization	0.0	μB/f.u.
calculated total energy	-6.300	eV per atom
energy of formation	329	meV per atom
distance to the lowest polymorph of the same formula	222	meV per atom


Material: LaMoN3
Method: DFT, GGA-PBE
State: optimized geometry

Structure (CIF):
```
data_LaMoN3
_chemical_formula_sum 'La2 Mo2 N6'
_cell_length_a 3.4538
_cell_length_b 6.4404
_cell_length_c 6.5033
_cell_angle_alpha 73.24
_cell_angle_beta 83.89
_cell_angle_gamma 86.01
_space_group_name_H-M_alt 'P 1'
_space_group_IT_number 1
loop_
_space_group_symop_operation_xyz
'x,y,z'
loop_
_atom_site_label
_atom_site_type_symbol
_atom_site_fract_x
_atom_site_fract_y
_atom_site_fract_z
La1 La 0.0000 0.0000 0.0000
La2 La 0.0657 0.7066 0.5854
Mo1 Mo 0.1888 0.4128 0.1761
Mo2 Mo 0.5855 0.2058 0.5070
N1 N 0.1118 0.1202 0.3827
N2 N 0.3597 0.3700 0.9002
N3 N 0.5338 0.9227 0.7428
N4 N 0.5748 0.7714 0.2767
N5 N 0.5823 0.3788 0.7180
N6 N 0.6573 0.5779 0.2308
```

raw formation energy	-0.578	eV/atom
total magnetization	0.0	μB/f.u.
calculated total energy	-8.725	eV per atom


Material: Pm3Tl3SbTe8
Method: DFT, GGA-PBE
State: optimized geometry

Structure (CIF):
```
data_Pm3Tl3SbTe8
_chemical_formula_sum 'Pm9 Tl9 Sb3 Te24'
_cell_length_a 9.0374
_cell_length_b 9.0374
_cell_length_c 24.2416
_cell_angle_alpha 90.00
_cell_angle_beta 90.00
_cell_angle_gamma 120.00
_space_group_name_H-M_alt 'R -3 m'
_space_group_IT_number 166
_space_group_name_Hall '-R 3 2"'
loop_
_atom_site_label
_atom_site_type_symbol
_atom_site_fract_x
_atom_site_fract_y
_atom_site_fract_z
Pm1 Pm 0.0000 0.5000 0.0000
Tl1 Tl 0.0000 0.5000 0.5000
Sb1 Sb 0.0000 0.0000 0.0000
Te1 Te 0.0000 0.0000 0.2592
Te2 Te 0.0070 0.5035 0.7381
```

raw formation energy	-0.837	eV/atom
total magnetization	0.0	μB/f.u.
calculated total energy	-4.211	eV per atom


Material: NaZnF2
Method: DFT, GGA-PBE
State: optimized geometry

Structure (CIF):
```
data_NaZnF2
_chemical_formula_sum 'Na3 Zn3 F6'
_cell_length_a 3.2801
_cell_length_b 3.2801
_cell_length_c 19.6008
_cell_angle_alpha 90.00
_cell_angle_beta 90.00
_cell_angle_gamma 120.00
_space_group_name_H-M_alt 'R -3 m'
_space_group_IT_number 166
_space_group_name_Hall '-R 3 2"'
loop_
_atom_site_label
_atom_site_type_symbol
_atom_site_fract_x
_atom_site_fract_y
_atom_site_fract_z
Na1 Na 0.0000 0.0000 0.0000
Zn1 Zn 0.0000 0.0000 0.5000
F1 F 0.0000 0.0000 0.3992
```

raw formation energy	-1.980	eV/atom
total magnetization	0.0	μB/f.u.
calculated total energy	-3.564	eV per atom
distance to the lowest polymorph of the same formula	0	meV per atom


Calculated volume (Å³/cell)
778.15, 1104.66, 101.03, 155.09, 81.01, 137.61, 1714.68, 182.63